TlFe3As | PBE-GGA | relaxed

The structure in POSCAR format:
```
TlFe3As
1.0
-2.293 -1.226 -3.714
3.771 0.449 -2.477
1.038 -4.341 0.793
As Fe Tl
1 3 1
Direct
0.000 0.000 0.000 As
0.500 0.000 0.000 Fe
0.000 0.000 0.500 Fe
0.000 0.500 0.000 Fe
0.500 0.500 0.500 Tl
```

## Properties
Its raw total energy is -5.860 eV/atom. For the energy above the lowest structure with this stoichiometry, the calculation gives 0 meV per atom. Its formation energy is 0.62 eV/atom. Its space-group type is Pm-3m, No. 221.

=====

Tl3FeAs | PBE-GGA | relaxed

The structure in POSCAR format:
```
Tl3FeAs
1.0
-2.768 -4.176 -2.368
4.700 -2.915 -0.353
-0.980 -2.185 4.997
As Tl Fe
1 3 1
Direct
0.000 0.000 0.000 As
0.500 0.000 0.000 Tl
0.000 0.500 0.000 Tl
0.000 0.000 0.500 Tl
0.500 0.500 0.500 Fe
```

## Properties
Its raw total energy is -3.083 eV/atom. For the energy above the lowest structure with this stoichiometry, the calculation gives 423 meV per atom. Its formation energy is 0.96 eV/atom. Its space-group type is Pm-3m, No. 221.

=====

TlFe4As | PBE-GGA | relaxed

The structure in POSCAR format:
```
TlFe4As
1.0
1.318 -3.433 3.428
1.870 1.462 4.431
-2.730 -0.551 4.185
Fe Tl As
4 1 1
Direct
0.874 0.375 0.375 Fe
0.375 0.375 0.874 Fe
0.375 0.874 0.375 Fe
0.375 0.375 0.375 Fe
0.750 0.750 0.750 Tl
0.000 0.000 0.000 As
```

## Properties
Its raw total energy is -6.423 eV/atom. Its formation energy is 0.39 eV/atom. Its space-group type is F-43m, No. 216.

=====

TlFe3As | PBE-GGA | relaxed

The structure in POSCAR format:
```
TlFe3As
1.0
-3.811 2.481 1.673
-2.601 -1.406 -3.839
-1.481 -3.917 2.437
Fe As Tl
3 1 1
Direct
0.500 0.000 0.000 Fe
0.000 0.500 0.000 Fe
0.000 0.000 0.500 Fe
0.500 0.500 0.500 As
0.000 0.000 0.000 Tl
```

## Properties
Its raw total energy is -4.776 eV/atom. For the energy above the lowest structure with this stoichiometry, the calculation gives 1085 meV per atom. Its formation energy is 1.71 eV/atom. Its space-group type is Pm-3m, No. 221.

=====

TlFe4As12 | PBE-GGA | relaxed

The structure in POSCAR format:
```
TlFe4As12
1.0
6.870 0.000 -2.429
-3.435 5.950 -2.429
0.000 0.000 7.287
As Tl Fe
12 1 4
Direct
0.655 0.809 0.154 As
0.846 0.655 0.501 As
0.809 0.154 0.655 As
0.345 0.191 0.846 As
0.499 0.154 0.345 As
0.846 0.345 0.191 As
0.154 0.345 0.499 As
0.191 0.846 0.345 As
0.154 0.655 0.809 As
0.655 0.501 0.846 As
0.501 0.846 0.655 As
0.345 0.499 0.154 As
0.000 0.000 0.000 Tl
0.500 0.500 0.500 Fe
0.500 0.000 0.000 Fe
0.000 0.500 0.000 Fe
0.000 0.000 0.500 Fe
```

## Properties
Its raw total energy is -5.550 eV/atom. Its formation energy is -0.14 eV/atom. Its space-group type is Im-3, No. 204.

=====

TlZnFeAs2 | PBE-GGA | relaxed

The structure in POSCAR format:
```
TlZnFeAs2
1.0
-2.909 3.489 -0.512
-1.979 -2.223 -3.899
-3.005 -2.105 2.726
Tl Fe Zn As
1 1 1 2
Direct
0.500 0.500 0.500 Tl
0.000 0.000 0.000 Fe
0.000 0.500 0.000 Zn
0.500 0.000 0.000 As
0.000 0.000 0.500 As
```

## Properties
Its raw total energy is -4.069 eV/atom. Its formation energy is 0.21 eV/atom. Its space-group type is P4/mmm, No. 123.